# ZnInCoW

ZnInCoW after structural relaxation (PBE, OQMD via LeMat-Bulk).

Summary:
Relative energy among the computed polymorphs   0.000 eV per atom

Cell lengths 6.238, 6.238, 6.238 Å; angles 90.00, 90.00, 90.00 degrees
Space group F-43m (No. 216)
One atom of each set of equivalent atoms:
Zn 0.000 0.000 0.000
In 0.250 0.250 0.250
Co 0.000 0.000 0.500
W 0.250 0.250 0.750

# ZnInCoW

ZnInCoW after structural relaxation (PBE, OQMD via LeMat-Bulk).

Summary:
Relative energy among the computed polymorphs   0.151 eV per atom

Cell lengths 6.285, 6.285, 6.285 Å; angles 90.00, 90.00, 90.00 degrees
Space group F-43m (No. 216)
One atom of each set of equivalent atoms:
Zn 0.000 0.000 0.000
In 0.000 0.000 0.500
Co 0.250 0.250 0.750
W 0.250 0.250 0.250

# ZrInCoW

ZrInCoW after structural relaxation (PBE, OQMD via LeMat-Bulk).

Summary:
Relative energy among the computed polymorphs   0.000 eV per atom

Cell lengths 6.559, 6.559, 6.559 Å; angles 90.00, 90.00, 90.00 degrees
Space group F-43m (No. 216)
One atom of each set of equivalent atoms:
Zr 0.000 0.000 0.000
In 0.000 0.000 0.500
Co 0.250 0.250 0.750
W 0.250 0.250 0.250

# YIn2Co3

YIn2Co3 after structural relaxation (PBE, OQMD via LeMat-Bulk).

Cell lengths 9.2151, 9.2151, 4.2255 Å; angles 90.00, 90.00, 120.00 degrees
Space group P6/mmm (No. 191)
One atom of each set of equivalent atoms:
Y 0.0000 0.0000 0.0000
Y 0.3333 0.6667 0.5000
In 0.0000 0.3148 0.5000
Co 0.0000 0.5000 0.0000
Co 0.1937 0.3875 0.0000

# Y2InCo

Y2InCo after structural relaxation (PBE, OQMD via LeMat-Bulk).

Cell lengths 6.991, 6.991, 6.991 Å; angles 90.00, 90.00, 90.00 degrees
Space group F-43m (No. 216)
One atom of each set of equivalent atoms:
Y 0.000 0.000 0.000
Y 0.250 0.250 0.250
In 0.000 0.000 0.500
Co 0.250 0.250 0.750

# YInCo2

YInCo2 after structural relaxation (PBE, OQMD via LeMat-Bulk).

Cell lengths 5.005, 4.016, 7.139 Å; angles 90.00, 90.00, 90.00 degrees
Space group Pmma (No. 51)
One atom of each set of equivalent atoms:
Y 0.250 0.000 0.220
In 0.250 0.500 0.852
Co 0.000 0.500 0.500
Co 0.250 0.000 0.592

# YIn5Co

YIn5Co after structural relaxation (PBE, OQMD via LeMat-Bulk).

Cell lengths 4.561, 4.561, 7.464 Å; angles 90.00, 90.00, 90.00 degrees
Space group P4/mmm (No. 123)
One atom of each set of equivalent atoms:
Y 0.000 0.000 0.000
In 0.000 0.500 0.306
In 0.500 0.500 0.000
Co 0.000 0.000 0.500

# Y8In3Co

Y8In3Co after structural relaxation (PBE, OQMD via LeMat-Bulk).

Cell lengths 10.3921, 10.3921, 7.0344 Å; angles 90.00, 90.00, 120.00 degrees
Space group P6_3mc (No. 186)
One atom of each set of equivalent atoms:
Y 0.0000 0.0000 0.0000
Y 0.0706 0.5353 0.4868
Y 0.1776 0.3553 0.7800
Y 0.3333 0.6667 0.0960
In 0.1631 0.3262 0.2402
Co 0.3333 0.6667 0.7104

# YZnInCo

YZnInCo after structural relaxation (PBE, OQMD via LeMat-Bulk).

Summary:
Relative energy among the computed polymorphs   0.094 eV per atom

Cell lengths 6.656, 6.656, 6.656 Å; angles 90.00, 90.00, 90.00 degrees
Space group F-43m (No. 216)
One atom of each set of equivalent atoms:
Y 0.000 0.000 0.000
Zn 0.250 0.250 0.750
In 0.250 0.250 0.250
Co 0.000 0.000 0.500

# YZnInCo

YZnInCo after structural relaxation (PBE, OQMD via LeMat-Bulk).

Summary:
Relative energy among the computed polymorphs   0.000 eV per atom

Cell lengths 6.656, 6.656, 6.656 Å; angles 90.00, 90.00, 90.00 degrees
Space group F-43m (No. 216)
One atom of each set of equivalent atoms:
Y 0.000 0.000 0.000
Zn 0.250 0.250 0.250
In 0.000 0.000 0.500
Co 0.250 0.250 0.750

# YZrInCo

YZrInCo after structural relaxation (PBE, OQMD via LeMat-Bulk).

Summary:
Relative energy among the computed polymorphs   0.000 eV per atom

Cell lengths 6.842, 6.842, 6.842 Å; angles 90.00, 90.00, 90.00 degrees
Space group F-43m (No. 216)
One atom of each set of equivalent atoms:
Y 0.000 0.000 0.000
Zr 0.250 0.250 0.750
In 0.250 0.250 0.250
Co 0.000 0.000 0.500

# ZrInCo2

ZrInCo2 after structural relaxation (PBE, OQMD via LeMat-Bulk).

Cell lengths 4.332, 4.332, 3.219 Å; angles 90.00, 90.00, 90.00 degrees
Space group P4/mmm (No. 123)
One atom of each set of equivalent atoms:
Zr 0.000 0.000 0.000
In 0.500 0.500 0.000
Co 0.000 0.500 0.500

# CoIr

CoIr after structural relaxation (PBE, OQMD via LeMat-Bulk).

Cell lengths 2.6694, 2.6694, 4.1854 Å; angles 90.00, 90.00, 120.00 degrees
Space group P-6m2 (No. 187)
One atom of each set of equivalent atoms:
Co 0.0000 0.0000 0.0000
Ir 0.6667 0.3333 0.5000

# CoIr

CoIr after structural relaxation (PBE, OQMD via LeMat-Bulk).

Cell lengths 2.6641, 2.6641, 12.6057 Å; angles 90.00, 90.00, 120.00 degrees
Space group R-3m (No. 166, hexagonal axes)
One atom of each set of equivalent atoms:
Co 0.0000 0.0000 0.0000
Ir 0.0000 0.0000 0.5000

# Co7Ir

Co7Ir after structural relaxation (PBE, OQMD via LeMat-Bulk).

Cell lengths 4.099, 4.099, 5.489 Å; angles 90.00, 90.00, 90.00 degrees
Space group P4/mmm (No. 123)
One atom of each set of equivalent atoms:
Co 0.000 0.000 0.000
Co 0.000 0.000 0.500
Co 0.000 0.500 0.232
Co 0.500 0.500 0.000
Ir 0.500 0.500 0.500

# CoIr2

CoIr2 after structural relaxation (PBE, OQMD via LeMat-Bulk).

Cell lengths 10.060, 10.060, 10.060 Å; angles 90.00, 90.00, 90.00 degrees
Space group Fd-3m (No. 227, origin choice 2)
One atom of each set of equivalent atoms:
Co 0.125 0.125 0.125
Ir 0.000 0.000 0.000

# CoIr

CoIr after structural relaxation (PBE, OQMD via LeMat-Bulk).

Cell lengths 5.213, 5.213, 5.213 Å; angles 90.00, 90.00, 90.00 degrees
Space group F-43m (No. 216)
One atom of each set of equivalent atoms:
Co 0.000 0.000 0.000
Ir 0.250 0.250 0.250

# CoIr2

CoIr2 after structural relaxation (PBE, OQMD via LeMat-Bulk).

Cell lengths 5.625, 5.625, 5.625 Å; angles 90.00, 90.00, 90.00 degrees
Space group Fm-3m (No. 225)
One atom of each set of equivalent atoms:
Co 0.000 0.000 0.000
Ir 0.250 0.250 0.250

# KCoP2Ir

KCoP2Ir after structural relaxation (PBE, OQMD via LeMat-Bulk).

Cell lengths 3.821, 3.821, 13.152 Å; angles 90.00, 90.00, 90.00 degrees
Space group I-4m2 (No. 119)
One atom of each set of equivalent atoms:
K 0.000 0.000 0.000
Co 0.000 0.500 0.750
P 0.000 0.000 0.347
Ir 0.000 0.500 0.250

# LaCoSi2Ir

LaCoSi2Ir after structural relaxation (PBE, OQMD via LeMat-Bulk).

Cell lengths 4.053, 4.053, 10.279 Å; angles 90.00, 90.00, 90.00 degrees
Space group I-4m2 (No. 119)
One atom of each set of equivalent atoms:
La 0.000 0.000 0.000
Co 0.000 0.500 0.750
Si 0.000 0.000 0.369
Ir 0.000 0.500 0.250

Size of the total moment, record by record: 1.74, 2.37, 2.14, 2.65, 0.00, 2.35, 0.00, 0.00, 0.29, 0.00, 0.99, 0.82, 1.97, 1.72, 12.94, 2.90, 0.02, 0.34, 0.00, 0.01 μB per formula unit
Total DFT energy (no corrections), record by record: -0.2037, -0.1981, -0.2745, -0.2058, -0.2101, -0.2243, -0.1523, -0.2191, -0.1632, -0.1667, -0.2239, -0.2399, -0.2924, -0.2920, -0.2649, -0.1861, -0.2523, -0.2863, -0.2273, -0.2659 hartree per atom